Entry a
DFT (PBE) results for a geometry-optimized PuUPd6 structure.

Results
Crystal system = tetragonal
SG = P4/mmm, No. 123
DOS(E_F) = 22.36 states/eV/cell
V = 143.00 Å³/f.u.

abc: 4.153 4.153 8.292
angles: 90.00 90.00 90.00
Atoms (fractional coordinates):
Pd 0.000 0.500 0.256
Pd 0.000 0.500 0.744
Pd 0.500 0.500 0.500
Pd 0.500 0.000 0.744
Pd 0.500 0.000 0.256
Pd 0.500 0.500 0.000
Pu 0.000 0.000 0.000
U 0.000 0.000 0.500

=====

Entry b
DFT (PBE) results for a geometry-optimized PuUPd6 structure.

Results
Crystal system = trigonal
SG = R-3m, No. 166
DOS(E_F) = 20.66 states/eV/cell
V = 165.63 Å³/f.u.

abc: 7.003 7.003 5.618
angles: 51.44 51.44 60.00
Atoms (fractional coordinates):
Pd 0.147 0.147 0.175
Pd 0.532 0.147 0.175
Pd 0.853 0.853 0.825
Pd 0.147 0.532 0.175
Pd 0.468 0.853 0.825
Pd 0.853 0.468 0.825
U 0.000 0.000 0.000
Pu 0.500 0.500 0.500

=====

Among the structures above, stability is smallest for entry b.